SmCr2SnO6 | PBE with a Hubbard U | optimized geometry

Geometry as POSCAR:
```
SmCr2SnO6
1.0
2.762 1.594 4.506
-2.762 1.594 4.506
0.000 -3.189 4.506
Sm Cr Sn O
1 2 1 6
direct
0.000 0.000 0.000
0.265 0.265 0.265
0.766 0.766 0.766
0.487 0.487 0.487
0.049 0.606 0.428
0.111 0.534 0.923
0.428 0.049 0.606
0.534 0.923 0.111
0.606 0.428 0.049
0.923 0.111 0.534
```

Summary:
Total DFT energy (no corrections), eV/cell: -74.67
Magnetic moment, μB/cell: 5.31
Space-group type: R3